(one)
PBE LaZn2Ag3, relaxed; size of the total moment = 0.00 μB/f.u.; density of states at the Fermi level = 5.358 states/eV per cell
1.0
5.388 0.000 0.000
0.000 6.812 0.180
0.000 0.533 6.793
La Zn Ag
2 4 6
direct
0.750 0.678 0.322
0.250 0.322 0.678
0.000 0.231 0.231
0.000 0.769 0.769
0.500 0.231 0.231
0.500 0.769 0.769
0.250 0.955 0.045
0.750 0.453 0.907
0.750 0.093 0.547
0.250 0.907 0.453
0.250 0.547 0.093
0.750 0.045 0.955


(two)
PBE LaZn2Ag3, relaxed; size of the total moment = 0.00 μB/f.u.; density of states at the Fermi level = 8.344 states/eV per cell
1.0
-2.146 -2.816 -3.010
4.392 1.311 -0.770
4.341 -10.559 6.784
Ag Zn La
6 4 2
direct
0.333 0.667 0.403
0.000 0.000 0.500
0.667 0.333 0.903
0.667 0.333 0.597
0.333 0.667 0.097
0.000 0.000 0.000
0.667 0.333 0.390
0.333 0.667 0.890
0.333 0.667 0.610
0.667 0.333 0.110
0.000 0.000 0.250
0.000 0.000 0.750


Verdict on stability: (one) comes out on top.


(one)
PBE La4ZnAg3, relaxed; size of the total moment = 0.00 μB/f.u.; density of states at the Fermi level = 9.089 states/eV per cell
1.0
3.958 0.000 0.000
0.000 4.880 0.000
0.000 0.000 11.762
Ag La Zn
3 4 1
direct
0.000 0.500 0.575
0.000 0.000 0.425
0.500 0.000 0.928
0.000 0.000 0.144
0.000 0.500 0.857
0.500 0.500 0.353
0.500 0.000 0.644
0.500 0.500 0.074


(two)
PBE La4ZnAg3, relaxed; size of the total moment = 0.06 μB/f.u.; density of states at the Fermi level = 7.394 states/eV per cell
1.0
3.834 0.000 0.000
0.000 3.834 0.000
0.000 0.000 15.019
La Ag Zn
4 3 1
direct
0.000 0.000 0.880
0.000 0.000 0.120
0.000 0.000 0.373
0.000 0.000 0.627
0.500 0.500 0.500
0.500 0.500 0.752
0.500 0.500 0.248
0.500 0.500 0.000


Verdict on stability: (two) comes out on top.


(one)
PBE La3Zn4Ag4, relaxed; size of the total moment = 0.00 μB/f.u.; density of states at the Fermi level = 8.570 states/eV per cell
1.0
3.872 -0.001 0.003
-0.001 4.611 0.002
1.930 2.292 14.105
Zn La Ag
4 3 4
direct
0.454 0.453 0.093
0.309 0.808 0.382
0.691 0.192 0.618
0.546 0.547 0.907
0.000 0.000 0.000
0.145 0.646 0.710
0.855 0.354 0.290
0.404 0.904 0.192
0.743 0.744 0.513
0.596 0.096 0.808
0.257 0.256 0.487


(two)
PBE La3Zn4Ag4, relaxed; size of the total moment = 0.00 μB/f.u.; density of states at the Fermi level = 9.658 states/eV per cell
1.0
4.226 0.000 -1.163
-0.861 6.954 -3.126
0.096 -0.352 8.608
Ag Zn La
4 4 3
direct
0.670 0.479 0.341
0.670 0.862 0.341
0.330 0.138 0.659
0.330 0.521 0.659
0.780 0.280 0.561
0.500 0.179 0.000
0.500 0.821 0.000
0.220 0.720 0.439
0.873 0.873 0.745
0.000 0.500 0.000
0.127 0.127 0.255


Verdict on stability: (one) comes out on top.